# SmDy7Er5

SmDy7Er5 after structural relaxation (PBE, Alexandria via LeMat-Bulk).

Values from the calculation:
DOS(E_F): 51.35 states/eV per cell
magnetization: 0.0 μB per formula unit
total DFT energy (no corrections): -4.343 eV/atom

Cell lengths 6.645, 11.105, 11.483 Å; angles 90.00, 90.00, 90.00 degrees
Space group Imm2 (No. 44)
Symmetry-distinct sites (fractional):
Sm: 0.000 0.000 0.000 (multiplicity 2)
Dy: 0.000 0.000 0.304 (multiplicity 2)
Dy: 0.000 0.000 0.611 (multiplicity 2)
Dy: 0.000 0.328 0.053 (multiplicity 4)
Dy: 0.000 0.329 0.555 (multiplicity 4)
Dy: 0.000 0.500 0.302 (multiplicity 2)
Er: 0.000 0.500 0.805 (multiplicity 2)
Er: 0.234 0.229 0.803 (multiplicity 8)